Computed, not measured: a crystal of CrFe3 relaxed with PBEsol at the SCAN level of DFT.

Values from the calculation:
V	10.11	A^3/atom
VASP energy	-1.316	Ry per atom
density	9.0	g/cm3
energy relative to the elements	293.6	meV per atom

Cell and atoms, written as extended XYZ:
```
4
Lattice="-1.056 1.396 1.724 -0.670 -3.172 2.158 3.745 0.496 1.891" Properties=species:S:1:pos:R:3 pbc="T T T"
Cr 0.004 0.001 0.002
Fe 0.934 -1.418 1.720
Fe 1.326 0.944 1.798
Fe 2.252 -0.476 3.514
```